A relaxed structure of NbMo3F, computed with PBE+U.

a b c (Å): 4.307 4.307 4.307
angles (deg): 90.00 90.00 90.00
Atoms (fractional coordinates):
Nb1 0.000 0.000 0.000
Mo1 0.000 0.500 0.500
Mo2 0.500 0.000 0.500
Mo3 0.500 0.500 0.000
F1 0.500 0.500 0.500

Calculated values
Crystal system = cubic
Energy = -27.59 eV/cell
Space-group type = No. 221